# TaCrCu2Hg, relaxed, DFT GGA-PBE
# - VASP energy (eV/atom) = -4.028
# - formation energy from the elements (eV/atom) = 1.966
data_TaCrCu2Hg
_chemical_formula_sum 'Ta1 Cr1 Cu2 Hg1'
_cell_length_a 4.594
_cell_length_b 4.594
_cell_length_c 5.195
_cell_angle_alpha 90.00
_cell_angle_beta 90.00
_cell_angle_gamma 90.00
_symmetry_space_group_name_H-M 'P 4/m m m'
_symmetry_Int_Tables_number 123
_symmetry_space_group_name_Hall '-P 4 2'
loop_
_atom_site_label
_atom_site_type_symbol
_atom_site_fract_x
_atom_site_fract_y
_atom_site_fract_z
Ta1 Ta 0.000 0.000 0.000
Cr1 Cr 0.500 0.500 0.000
Cu1 Cu 0.000 0.500 0.500
Hg1 Hg 0.000 0.000 0.500